Record 1
! Ba2O2F, relaxed, DFT GGA-PBE; values from VASP
! DFT total energy	-5.6469	eV/atom
! formation energy (no corrections)	-2.520	eV/atom
! symmetry	P4/mbm (127)
! total magnetization	0.20	μB per atom
&SYSTEM
  ibrav = 0, nat = 10, ntyp = 3
/
ATOMIC_SPECIES
Ba 137.33 Ba.upf
F 19.00 F.upf
O 16.00 O.upf
ATOMIC_POSITIONS angstrom
Ba -7.1816 0.8630 -2.9800
Ba -2.1898 -0.6010 -1.4749
Ba -4.8704 -2.0858 -3.7712
Ba -4.5011 2.3479 -0.6837
F -4.6857 0.1310 -2.2274
F 0.0000 0.0000 0.0000
O -3.6103 -3.0644 -1.4314
O -7.4489 -1.9280 -2.5819
O -7.1532 1.4788 -0.2037
O -3.3147 0.3424 0.9469
CELL_PARAMETERS angstrom
-5.7128 4.6038 0.1962
-3.6587 -4.3417 -4.6511
-1.3921 -1.8477 2.8198

Record 2
! Ni15Mo2Pt2, relaxed, DFT GGA-PBE; values from VASP
! DFT total energy	-6.2122	eV/atom
! symmetry	R-3m (166)
! total magnetization	0.32	μB per atom
&SYSTEM
  ibrav = 0, nat = 19, ntyp = 3
/
ATOMIC_SPECIES
Ni 58.69 Ni.upf
Pt 195.08 Pt.upf
Mo 95.94 Mo.upf
ATOMIC_POSITIONS angstrom
Ni 0.8411 4.3900 2.0424
Ni 4.8201 4.2305 1.0875
Ni 2.1782 4.5762 4.0777
Ni 3.1037 5.3885 2.1193
Ni 4.4620 2.0593 0.0281
Ni 2.6207 4.1572 0.0281
Ni 0.4205 3.0924 0.0141
Ni 0.8411 2.5330 4.1264
Ni 4.4620 0.2644 2.0424
Ni 2.6207 0.5053 4.1264
Ni 5.7456 2.3784 2.1193
Ni 4.8201 1.5661 4.0777
Ni 0.4205 0.3691 3.0704
Ni 3.1209 0.0158 0.0141
Ni 3.1037 2.7241 5.1094
Pt 0.8294 0.7280 0.6487
Pt 7.0944 6.2266 5.5483
Mo 4.8142 4.2253 3.7650
Mo 3.1097 2.7293 2.4320
CELL_PARAMETERS angstrom
6.2417 0.0315 0.0281
0.8411 6.1849 0.0281
0.8411 0.7382 6.1407

Record 3
! La4Sb2TeAs, relaxed, DFT GGA-PBE; values from VASP
! DFT total energy	-5.9212	eV/atom
! formation energy (no corrections)	-1.453	eV/atom
! symmetry	P2/m (10)
! total magnetization	0.00	μB per atom
&SYSTEM
  ibrav = 0, nat = 8, ntyp = 4
/
ATOMIC_SPECIES
La 138.91 La.upf
Sb 121.76 Sb.upf
As 74.92 As.upf
Te 127.60 Te.upf
ATOMIC_POSITIONS angstrom
La 9.5442 -0.6742 -0.4213
La 6.1993 -3.5436 -0.7514
La 3.1352 -3.9310 2.4986
La 6.4801 -1.0616 2.8288
Sb 3.3073 -0.7905 3.0364
Sb 6.7635 2.1499 3.4748
As 6.4141 -0.4372 -0.2603
Te 9.7214 -1.2277 2.7760
CELL_PARAMETERS angstrom
-0.1488 -3.7308 2.5980
6.0647 -3.0243 -3.9954
6.7635 2.1499 3.4748

Record 4
! CaCu9Sn2, relaxed, DFT GGA-PBE; values from VASP
! polymorph energy (0 for the lowest one)	0.0	kJ per mole of atoms
! DFT total energy	-4.0155	eV/atom
! symmetry	P4/mbm (127)
! total magnetization	0.00	μB per atom
&SYSTEM
  ibrav = 0, nat = 24, ntyp = 3
/
ATOMIC_SPECIES
Sn 118.71 Sn.upf
Cu 63.55 Cu.upf
Ca 40.08 Ca.upf
ATOMIC_POSITIONS angstrom
Sn 0.0000 5.3422 1.0969
Sn 0.0000 3.1484 7.3937
Sn 0.0000 1.0969 3.1484
Sn 0.0000 7.3937 5.3422
Cu 3.8018 1.4633 5.7086
Cu 2.5210 3.6750 5.9781
Cu 3.8018 5.7086 7.0273
Cu 1.2401 1.4633 5.7086
Cu 2.5210 4.8156 2.5125
Cu 2.5210 2.5125 3.6750
Cu 2.5210 4.2453 0.0000
Cu 3.8018 7.0273 2.7820
Cu 2.5210 1.7328 7.9203
Cu 3.8018 2.7820 1.4633
Cu 2.5210 7.9203 6.7578
Cu 2.5210 5.9781 4.8156
Cu 2.5210 0.0000 4.2453
Cu 1.2401 7.0273 2.7820
Cu 1.2401 2.7820 1.4633
Cu 2.5210 0.5703 1.7328
Cu 1.2401 5.7086 7.0273
Cu 2.5210 6.7578 0.5703
Ca 0.0000 4.2453 4.2453
Ca 0.0000 0.0000 0.0000
CELL_PARAMETERS angstrom
5.0420 0.0000 0.0000
0.0000 8.4906 0.0000
0.0000 0.0000 8.4906

Record 5
! AcTbPuN3, relaxed, DFT GGA-PBE; values from VASP
! DFT total energy	-8.9301	eV/atom
! formation energy (no corrections)	-0.922	eV/atom
! symmetry	P2_1/m (11)
! total magnetization	0.39	μB per atom
&SYSTEM
  ibrav = 0, nat = 12, ntyp = 4
/
ATOMIC_SPECIES
Tb 158.93 Tb.upf
Ac 227.00 Ac.upf
Pu 244.00 Pu.upf
N 14.01 N.upf
ATOMIC_POSITIONS angstrom
Tb -0.6927 -7.6575 -1.1060
Tb 3.2487 -2.3259 -2.7793
Ac 0.3661 -1.7005 -0.9745
Ac 2.1899 -8.2829 -2.9108
Pu -1.1280 -4.8362 0.7790
Pu 3.6840 -5.1472 -4.6643
N -1.1446 -5.3424 -1.3472
N 3.8353 -3.0691 -5.2580
N 1.7057 -7.8519 -0.4277
N 3.7006 -4.6410 -2.5381
N -1.2793 -6.9143 1.3727
N 0.8503 -2.1315 -3.4577
CELL_PARAMETERS angstrom
-2.0187 -0.7045 -2.9801
6.3767 -1.5449 -3.9544
-1.8020 -7.7340 3.0492

Record 6
! Pr2AgHg5, relaxed, DFT GGA-PBE; values from VASP
! polymorph energy (0 for the lowest one)	2.8	kJ per mole of atoms
! DFT total energy	-1.9540	eV/atom
! symmetry	R-3m (166)
! total magnetization	0.00	μB per atom
&SYSTEM
  ibrav = 0, nat = 8, ntyp = 3
/
ATOMIC_SPECIES
Pr 140.91 Pr.upf
Ag 107.87 Ag.upf
Hg 200.59 Hg.upf
ATOMIC_POSITIONS angstrom
Pr 2.5883 3.6657 7.6731
Pr 6.2012 5.6122 1.5092
Ag 0.0000 0.0000 0.0000
Hg 7.7458 7.3950 3.9329
Hg 4.3947 4.6390 4.5911
Hg 1.0436 1.8830 5.2493
Hg 5.2878 5.8858 7.1429
Hg 3.5017 3.3922 2.0394
CELL_PARAMETERS angstrom
-1.4498 2.6543 3.7322
1.6497 -0.9527 4.4099
8.5896 7.5765 1.0401

Record 7
! Ta4BiSe8, relaxed, DFT GGA-PBE; values from VASP
! DFT total energy	-6.6982	eV/atom
! formation energy (no corrections)	-0.608	eV/atom
! symmetry	R-3m (166)
! total magnetization	0.00	μB per atom
&SYSTEM
  ibrav = 0, nat = 13, ntyp = 3
/
ATOMIC_SPECIES
Ta 180.95 Ta.upf
Bi 208.98 Bi.upf
Se 78.96 Se.upf
ATOMIC_POSITIONS angstrom
Ta -1.0440 3.4972 9.0286
Ta 1.0828 2.8559 -1.6481
Ta 3.0544 -0.0002 -1.6479
Ta 0.0000 0.0000 0.0000
Bi -1.5078 3.1767 4.5142
Se 3.2296 4.3124 -1.3237
Se 2.1600 1.4911 0.3044
Se 2.9302 2.0232 5.4312
Se -0.1364 2.0406 7.0564
Se 0.9332 4.8619 5.4283
Se 0.1630 4.3297 0.3015
Se -2.0841 4.8621 7.0562
Se 5.1773 1.4908 -1.3236
CELL_PARAMETERS angstrom
6.1088 -0.0005 -3.2958
-3.9432 5.7123 -0.0004
0.9276 0.6411 9.0288

Record 8
! CdTcAg2, relaxed, DFT GGA-PBE; values from VASP
! DFT total energy	-3.9154	eV/atom
! symmetry	P4mm (99)
! total magnetization	0.00	μB per atom
&SYSTEM
  ibrav = 0, nat = 4, ntyp = 3
/
ATOMIC_SPECIES
Ag 107.87 Ag.upf
Cd 112.41 Cd.upf
Tc 98.00 Tc.upf
ATOMIC_POSITIONS angstrom
Ag 0.0000 0.0000 8.8667
Ag 1.1937 1.5727 2.1883
Cd 0.0000 0.0000 4.5188
Tc 1.1937 1.5727 6.7331
CELL_PARAMETERS angstrom
2.7659 0.3793 0.0000
-0.3785 2.7660 0.0000
0.0000 0.0000 8.9228

Record 9
! LiMg2Ta, relaxed, DFT GGA-PBE; values from VASP
! polymorph energy (0 for the lowest one)	23.9	kJ per mole of atoms
! DFT total energy	-3.8480	eV/atom
! symmetry	Imm2 (44)
! total magnetization	0.00	μB per atom
&SYSTEM
  ibrav = 0, nat = 4, ntyp = 3
/
ATOMIC_SPECIES
Li 6.94 Li.upf
Mg 24.30 Mg.upf
Ta 180.95 Ta.upf
ATOMIC_POSITIONS angstrom
Li -0.2820 -0.7998 2.8024
Mg -0.0299 -0.0294 0.0448
Mg -2.7039 0.8802 2.4073
Ta -2.5562 -2.5164 3.8278
CELL_PARAMETERS angstrom
-4.9443 -0.8031 3.3822
-0.1844 -4.2457 4.2978
2.1211 5.1078 -2.4378

Record 10
! Rb2HgRh, relaxed, DFT GGA-PBE; values from VASP
! DFT total energy	-2.1012	eV/atom
! symmetry	I-42d (122)
! total magnetization	0.00	μB per atom
&SYSTEM
  ibrav = 0, nat = 8, ntyp = 3
/
ATOMIC_SPECIES
Rh 102.91 Rh.upf
Rb 85.47 Rb.upf
Hg 200.59 Hg.upf
ATOMIC_POSITIONS angstrom
Rh -12.3241 -1.5665 -5.4190
Rh -6.8104 1.1845 -4.9994
Rb -12.9405 1.3938 -6.4817
Rb -16.2774 4.9231 -10.4496
Rb -4.9905 3.7211 -4.2737
Rb -9.2890 -0.8258 -4.7030
Hg -9.4247 6.1726 -7.5350
Hg 0.0000 0.0000 0.0000
CELL_PARAMETERS angstrom
-3.9110 8.9236 -7.1155
-9.7098 -6.5546 -2.8833
-8.1280 2.2371 -2.9552

Record 11
! Sm8Sc3, relaxed, DFT GGA-PBE; values from VASP
! DFT total energy	-4.7839	eV/atom
! symmetry	R-3 (148)
! total magnetization	0.00	μB per atom
&SYSTEM
  ibrav = 0, nat = 11, ntyp = 2
/
ATOMIC_SPECIES
Sc 44.96 Sc.upf
Sm 150.36 Sm.upf
ATOMIC_POSITIONS angstrom
Sc 3.5167 -0.2020 2.7933
Sc 2.4443 3.3038 -1.8223
Sc -1.2218 3.3038 2.7933
Sm 5.7353 1.7951 3.7576
Sm 4.4729 1.1393 -0.9718
Sm 3.6689 6.0095 -0.8125
Sm 0.2663 5.2663 4.7361
Sm 3.4405 4.6503 2.7328
Sm -0.9961 4.6105 0.0067
Sm 1.2986 1.7553 1.0315
Sm 1.0702 0.3961 4.5768
CELL_PARAMETERS angstrom
7.1829 -0.2020 -1.8223
-2.2942 6.8096 -1.8223
-0.1494 -0.2020 7.4089

Record 12
! MgCuSb, relaxed, DFT GGA-PBE; values from VASP
! DFT total energy	-3.4432	eV/atom
! formation energy (no corrections)	-0.172	eV/atom
! symmetry	Pnma (62)
! total magnetization	0.00	μB per atom
&SYSTEM
  ibrav = 0, nat = 12, ntyp = 3
/
ATOMIC_SPECIES
Sb 121.76 Sb.upf
Mg 24.30 Mg.upf
Cu 63.55 Cu.upf
ATOMIC_POSITIONS angstrom
Sb 5.4524 1.0790 6.7972
Sb 5.6137 3.2370 3.0343
Sb 1.7637 1.0790 4.4916
Sb 1.9250 3.2370 0.7287
Mg 3.8433 1.0790 1.6124
Mg 7.2228 3.2370 5.3754
Mg 3.5341 3.2370 5.9135
Mg 0.1546 1.0790 2.1505
Cu 0.7460 1.0790 6.9980
Cu 4.4347 1.0790 4.2909
Cu 2.9427 3.2370 3.2351
Cu 6.6314 3.2370 0.5279
CELL_PARAMETERS angstrom
7.3774 0.0000 0.0000
0.0000 4.3160 0.0000
0.0000 0.0000 7.5259

Record 13
! Tb3Ce4SmS8, relaxed, DFT GGA-PBE; values from VASP
! DFT total energy	-6.7472	eV/atom
! formation energy (no corrections)	-2.037	eV/atom
! symmetry	R-3m (166)
! total magnetization	0.18	μB per atom
&SYSTEM
  ibrav = 0, nat = 16, ntyp = 4
/
ATOMIC_SPECIES
Ce 140.12 Ce.upf
Tb 158.93 Tb.upf
S 32.06 S.upf
Sm 150.36 Sm.upf
ATOMIC_POSITIONS angstrom
Ce 0.1461 -3.2240 2.3227
Ce 0.0000 0.0000 0.0000
Ce -3.0455 -2.5572 0.0468
Ce 3.1916 -0.6668 2.2758
Tb 3.4625 -1.0622 -1.6915
Tb 0.4171 -3.6194 -1.6447
Tb -2.7745 -2.9526 -3.9205
S 5.2249 -3.1877 -1.3493
S 1.8310 -2.1757 0.2685
S 2.2118 -5.7177 -1.3029
S -0.9969 -5.0630 -3.5578
S 2.0675 -2.5282 -3.6007
S -1.2334 -4.7105 0.3113
S -1.3777 -1.5210 -1.9864
S -4.3908 -4.0510 -1.9401
Sm 0.2710 -0.3954 -3.9673
CELL_PARAMETERS angstrom
-6.0910 -5.1143 0.0937
0.5420 -0.7908 -7.9347
6.3831 -1.3336 4.5517

Record 14
! Rb6Hg2Au, relaxed, DFT GGA-PBE; values from VASP
! polymorph energy (0 for the lowest one)	2.2	kJ per mole of atoms
! DFT total energy	-1.2190	eV/atom
! symmetry	Immm (71)
! total magnetization	0.00	μB per atom
&SYSTEM
  ibrav = 0, nat = 18, ntyp = 3
/
ATOMIC_SPECIES
Rb 85.47 Rb.upf
Hg 200.59 Hg.upf
Au 196.97 Au.upf
ATOMIC_POSITIONS angstrom
Rb 11.2892 -11.6326 -1.2447
Rb 5.2290 -6.0068 1.5157
Rb 4.5571 -14.8840 0.9987
Rb 7.5525 -2.0578 -2.1088
Rb 6.8805 -10.9350 -2.6258
Rb 2.9925 -8.3865 -1.8258
Rb 5.4070 -10.4109 1.7088
Rb 3.4955 -1.9874 0.0754
Rb 0.8204 -5.3092 0.1346
Rb 8.6141 -14.9544 -1.1855
Rb 6.7025 -6.5309 -2.8190
Rb 9.1170 -8.5553 0.7156
Hg 3.3416 -12.1048 -1.4606
Hg 2.0560 -8.3982 1.7537
Hg 8.7679 -4.8370 0.3505
Hg -0.3120 -8.8140 -0.2173
Au 3.2372 -4.5861 -2.9215
Au 0.0000 0.0000 0.0000
CELL_PARAMETERS angstrom
-3.8912 -9.4426 -3.1966
10.3656 0.2704 -2.6465
5.6352 -7.7696 4.7329

Record 15
! HoNpGa5, relaxed, DFT GGA-PBE; values from VASP
! DFT total energy	-4.7084	eV/atom
! symmetry	P4/mmm (123)
! total magnetization	0.56	μB per atom
&SYSTEM
  ibrav = 0, nat = 7, ntyp = 3
/
ATOMIC_SPECIES
Ga 69.72 Ga.upf
Ho 164.93 Ho.upf
Np 237.00 Np.upf
ATOMIC_POSITIONS angstrom
Ga 2.3335 -3.4453 3.5929
Ga -1.6953 -1.5805 1.7384
Ga -0.7547 -2.5377 4.8182
Ga 1.3929 -2.4881 0.5132
Ga -0.2715 -4.1000 2.3527
Ho 0.9097 -0.9258 2.9786
Np -1.1812 -3.1742 -0.6259
CELL_PARAMETERS angstrom
-4.2694 -2.2665 0.5994
1.9070 -4.0818 -1.8511
1.8194 -1.8516 5.9572

Record 16
! DyAl3Ni2, relaxed, DFT GGA-PBE; values from VASP
! DFT total energy	-5.1766	eV/atom
! symmetry	Cmcm (63)
! total magnetization	0.00	μB per atom
&SYSTEM
  ibrav = 0, nat = 12, ntyp = 3
/
ATOMIC_SPECIES
Ni 58.69 Ni.upf
Al 26.98 Al.upf
Dy 162.50 Dy.upf
ATOMIC_POSITIONS angstrom
Ni 0.0000 0.3102 4.8128
Ni 2.5609 0.3102 4.8128
Ni 2.5609 4.6524 1.2707
Ni 0.0000 4.6524 1.2707
Al 3.8414 0.2270 0.2782
Al 3.8414 -0.0270 2.8447
Al 1.2805 4.9896 3.2389
Al 3.8414 2.7921 0.5450
Al 1.2805 2.1705 5.5385
Al 1.2805 4.7356 5.8053
Dy 1.2805 1.7174 2.1053
Dy 3.8414 3.2452 3.9782
CELL_PARAMETERS angstrom
5.1219 0.0000 0.0000
0.0000 6.2275 -0.0142
0.0000 -1.2649 6.0977

Record 17
! RbCaP3, relaxed, DFT GGA-PBE; values from VASP
! polymorph energy (0 for the lowest one)	73.9	kJ per mole of atoms
! DFT total energy	-2.5751	eV/atom
! symmetry	Pm-3m (221)
! total magnetization	0.00	μB per atom
&SYSTEM
  ibrav = 0, nat = 5, ntyp = 3
/
ATOMIC_SPECIES
P 30.97 P.upf
Ca 40.08 Ca.upf
Rb 85.47 Rb.upf
ATOMIC_POSITIONS angstrom
P -2.6021 -0.4595 -0.2416
P 0.5135 -2.4603 -0.8508
P -0.0767 -0.8811 2.5017
Ca -2.1654 -3.8010 1.4092
Rb 0.0000 0.0000 0.0000
CELL_PARAMETERS angstrom
-5.2043 -0.9190 -0.4832
1.0269 -4.9206 -1.7016
-0.1534 -1.7623 5.0034

Record 18
! Pr5Dy3Bi8, relaxed, DFT GGA-PBE; values from VASP
! DFT total energy	-5.2130	eV/atom
! symmetry	R-3m (166)
! total magnetization	0.00	μB per atom
&SYSTEM
  ibrav = 0, nat = 16, ntyp = 3
/
ATOMIC_SPECIES
Pr 140.91 Pr.upf
Bi 208.98 Bi.upf
Dy 162.50 Dy.upf
ATOMIC_POSITIONS angstrom
Pr 0.0000 0.0000 0.0000
Pr -0.3362 -2.9558 3.4860
Pr -1.4270 -0.9675 11.0914
Pr -2.8141 0.8992 3.5034
Pr -3.1502 -2.0566 6.9894
Bi -2.2002 -1.4895 16.5989
Bi -0.6537 -0.4455 5.5839
Bi 0.6438 -2.4089 13.1247
Bi -0.9841 -3.4368 9.0403
Bi -3.4978 0.4739 9.0581
Bi -3.8388 -2.5246 12.5944
Bi -1.8699 1.5018 13.1424
Bi 0.9849 0.5896 9.5884
Dy 1.3871 -1.8667 7.5879
Dy -1.0908 1.9883 7.6054
Dy 1.7233 1.0891 4.1020
CELL_PARAMETERS angstrom
-5.6282 1.7985 7.0069
-0.6723 -5.9116 6.9719
3.4465 2.1782 8.2039

Record 19
! Pm3CoB2Pt9, relaxed, DFT GGA-PBE; values from VASP
! DFT total energy	-6.6616	eV/atom
! symmetry	P-3m1 (164)
! total magnetization	0.13	μB per atom
&SYSTEM
  ibrav = 0, nat = 15, ntyp = 4
/
ATOMIC_SPECIES
Pt 195.08 Pt.upf
Pm 145.00 Pm.upf
B 10.81 B.upf
Co 58.93 Co.upf
ATOMIC_POSITIONS angstrom
Pt 4.3592 0.8166 6.5839
Pt -1.4434 2.5000 0.0000
Pt 2.8868 3.3669 6.5839
Pt 0.0000 1.6332 2.6560
Pt 1.4144 0.8166 6.5839
Pt 1.4434 2.5000 0.0000
Pt 1.4724 4.1835 2.6560
Pt 2.8868 0.0000 0.0000
Pt -1.4724 4.1835 2.6560
Pm 0.0000 0.0000 0.0000
Pm 0.0000 3.3334 5.5294
Pm 2.8868 1.6667 3.7105
B 0.0000 3.3334 1.3905
B 2.8868 1.6667 7.8494
Co 0.0000 0.0000 4.6200
CELL_PARAMETERS angstrom
5.7736 0.0000 0.0000
-2.8868 5.0001 0.0000
0.0000 0.0000 9.2399

Record 20
! K5Na2Sn4, relaxed, DFT GGA-PBE; values from VASP
! DFT total energy	-2.2338	eV/atom
! symmetry	C2/m (12)
! total magnetization	0.00	μB per atom
&SYSTEM
  ibrav = 0, nat = 11, ntyp = 3
/
ATOMIC_SPECIES
Sn 118.71 Sn.upf
K 39.10 K.upf
Na 22.99 Na.upf
ATOMIC_POSITIONS angstrom
Sn -2.5137 -12.1771 8.6785
Sn -3.4210 -6.2681 6.9692
Sn 0.2178 -10.1327 4.8248
Sn -0.6895 -4.2237 3.1155
K 0.8384 -5.9317 5.9488
K -3.3002 -8.8433 9.5468
K 0.0969 -7.5575 2.2472
K -0.9207 -6.6309 9.5974
K -2.2825 -9.7699 2.1967
Na 0.7297 -10.7565 8.0327
Na -3.9329 -5.6443 3.7613
CELL_PARAMETERS angstrom
-4.8800 -4.5374 -0.1037
2.7625 -7.9158 2.2159
-1.0857 -3.9476 9.6818